NdErTmHg after structural relaxation, computed with PBE.

Unit cell a=5.432 b=5.432 c=5.432 alpha=60.00 beta=60.00 gamma=60.00
Sites, in units of the cell vectors:
Nd 0.000 0.000 0.000
Er 0.500 0.500 0.500
Tm 0.750 0.750 0.750
Hg 0.250 0.250 0.250

Output
Energy of formation ... -59 meV/atom
Relative energy among the computed polymorphs ... 0.178 eV per atom
Fermi-level density of states ... 1.32 states/eV/atom
Symmetry ... No. 216



RbMgCl after structural relaxation, computed with PBE.

Unit cell a=4.116 b=4.116 c=7.032 alpha=90.00 beta=90.00 gamma=90.00
Sites, in units of the cell vectors:
Rb 0.000 0.000 0.000
Mg 0.500 0.500 0.430
Cl 0.500 0.500 0.783

Output
Energy relative to the elements, uncorrected ... -0.8977 eV/atom
Relative energy among the computed polymorphs ... 0.144 eV per atom
Fermi-level density of states ... 0.25 states/eV/atom
Symmetry ... No. 99



Rb2LiAuS after structural relaxation, computed with PBE.

Unit cell a=6.459 b=6.459 c=4.505 alpha=90.00 beta=90.00 gamma=90.00
Sites, in units of the cell vectors:
Rb 0.000 0.500 0.000
Rb 0.500 0.000 0.000
Li 0.000 0.000 0.500
Au 0.500 0.500 0.500
S 0.000 0.000 0.000

Output
Energy relative to the elements, uncorrected ... -0.7145 eV/atom
Fermi-level density of states ... 0.00 states/eV/atom
Symmetry ... No. 123



Ac2HPd6Rh after structural relaxation, computed with PBE.

Unit cell a=6.464 b=6.464 c=6.464 alpha=119.93 beta=119.93 gamma=90.13
Sites, in units of the cell vectors:
Ac 0.250 0.750 0.500
Ac 0.750 0.250 0.500
H 0.000 0.000 0.000
Pd 0.218 0.218 0.000
Pd 0.219 0.219 0.438
Pd 0.219 0.781 0.000
Pd 0.781 0.219 0.000
Pd 0.781 0.781 0.562
Pd 0.782 0.782 0.000
Rh 0.500 0.500 0.000

Output
Final energy ... -54.9 eV/f.u.
Fermi-level density of states ... 0.74 states/eV/atom
Symmetry ... No. 139



CdSb2Rh after structural relaxation, computed with PBE.

Unit cell a=5.325 b=5.325 c=6.337 alpha=110.55 beta=110.55 gamma=34.90
Sites, in units of the cell vectors:
Cd 0.000 0.000 0.000
Sb 0.653 0.653 0.646
Sb 0.847 0.847 0.376
Rh 0.272 0.272 0.010

Output
Energy relative to the elements, uncorrected ... -0.1318 eV/atom
Fermi-level density of states ... 0.55 states/eV/atom
Symmetry ... No. 8



NaRe3N after structural relaxation, computed with PBE.

Unit cell a=4.472 b=4.472 c=4.472 alpha=90.00 beta=90.00 gamma=90.00
Sites, in units of the cell vectors:
Na 0.000 0.000 0.000
Re 0.000 0.000 0.500
Re 0.000 0.500 0.000
Re 0.500 0.000 0.000
N 0.500 0.500 0.500

Output
Energy relative to the elements, uncorrected ... 4.3951 eV/atom
Relative energy among the computed polymorphs ... 3.627 eV per atom
Fermi-level density of states ... 1.20 states/eV/atom
Symmetry ... No. 221



CaSc2Rh after structural relaxation, computed with PBE.

Unit cell a=5.942 b=5.942 c=5.942 alpha=145.86 beta=126.59 gamma=64.93
Sites, in units of the cell vectors:
Ca 0.000 0.000 0.000
Sc 0.305 0.805 0.500
Sc 0.695 0.195 0.500
Rh 0.500 0.500 0.000

Output
Energy of formation ... -369 meV/atom
Relative energy among the computed polymorphs ... 0.024 eV per atom
Fermi-level density of states ... 0.84 states/eV/atom
Symmetry ... No. 71



Al7Rh4 after structural relaxation, computed with PBE.

Unit cell a=7.338 b=7.338 c=5.907 alpha=99.79 beta=99.79 gamma=30.21
Sites, in units of the cell vectors:
Al 0.000 0.000 0.000
Al 0.275 0.275 0.342
Al 0.358 0.358 0.829
Al 0.454 0.454 0.289
Al 0.546 0.546 0.711
Al 0.642 0.642 0.171
Al 0.725 0.725 0.658
Rh 0.099 0.099 0.423
Rh 0.171 0.171 0.920
Rh 0.829 0.829 0.080
Rh 0.901 0.901 0.577

Output
Energy of formation ... -746 meV/atom
Fermi-level density of states ... 0.50 states/eV/atom
Symmetry ... No. 12